# LiZnSn, relaxed, DFT PBE
# - DFT total energy (eV/atom) = -2.547
# - density of states at the Fermi level (states/eV/f.u.) = 0.706
# - space-group type = I4mm, No. 107
# - E_form (eV/atom) = -0.150
data_LiZnSn
_cell_length_a 4.887
_cell_length_b 4.887
_cell_length_c 4.887
_cell_angle_alpha 134.68
_cell_angle_beta 134.68
_cell_angle_gamma 66.03
_space_group_name_H-M_alt 'P 1'
_space_group_IT_number 1
loop_
_space_group_symop_operation_xyz
'x,y,z'
loop_
_atom_site_label
_atom_site_type_symbol
_atom_site_fract_x
_atom_site_fract_y
_atom_site_fract_z
Li1 Li 0.000 0.000 0.000
Zn1 Zn 0.674 0.674 0.000
Sn1 Sn 0.330 0.330 0.000